TaGe2Cl: optimized geometry, PBE.

Cell: 4.7232 4.7232 4.7232 Å, 60.00 60.00 60.00°
Element x y z (fractional)
Cl 0.0000 0.0000 0.0000
Ge 0.2500 0.2500 0.2500
Ge 0.7500 0.7500 0.7500
Ta 0.5000 0.5000 0.5000

Calculated values
The calculation puts the theoretical density at 8061 kg/m3. The final energy is -5.05 eV per atom. Its space-group type is Fm-3m, No. 225. The raw formation energy comes out at 0.684 eV per atom.

BaTaCu: optimized geometry, PBE.

Cell: 4.1517 4.1383 10.4641 Å, 89.99 89.98 85.95°
Each line ends with the local moment (μB).
Element x y z (fractional)
Ba 0.2349 0.9195 0.0309  0.07
Ba 0.7354 0.4199 0.4181  0.07
Cu 0.7347 0.4196 0.8805  0.02
Ta 0.2349 0.4196 0.7252  0.06
Cu 0.2348 0.9197 0.5685  0.02
Ta 0.7348 0.9197 0.7239  0.06

Calculated values
The calculation puts the theoretical density at 7071 kg/m3. Its formation energy is 0.37 eV/atom. The final energy is -5.59 eV per atom. Its space-group type is P2/c, No. 13.